Zr3U5H12: relaxed, GGA-PBE.

Geometry as CIF:
```
data_Zr3U5H12
_symmetry_space_group_name_H-M 'I a -3 d'
_symmetry_Int_Tables_number 230
_symmetry_space_group_name_Hall '-I 4bd 2c 3'
_cell_length_a 12.386
_cell_length_b 12.386
_cell_length_c 12.386
_cell_angle_alpha 90.00
_cell_angle_beta 90.00
_cell_angle_gamma 90.00
loop_
_atom_site_label
_atom_site_type_symbol
_atom_site_fract_x
_atom_site_fract_y
_atom_site_fract_z
_atom_site_occupancy
Zr1 Zr 0.000 0.250 0.125 1
U1 U 0.000 0.000 0.000 1
U2 U 0.000 0.250 0.375 1
H1 H 0.005 0.078 0.156 1
```

Values from the calculation:
Density of states at the Fermi level   226.91 states/eV/cell
Uncorrected energy   -990.45 eV for the cell shown